(1)
The following is a DFT calculation (GGA-PBE) of a relaxed structure of LaSm3Ge4.

Crystal system: orthorhombic
Electronic total energy: -5.330 eV/atom

Unit cell a=4.050 b=6.615 c=16.302 alpha=90.00 beta=90.00 gamma=90.00
Fractional positions:
La1 0.000 0.000 0.000
La2 0.500 0.500 0.500
Sm1 0.000 0.000 0.500
Sm2 0.000 0.500 0.304
Sm3 0.000 0.500 0.696
Sm4 0.500 0.000 0.196
Sm5 0.500 0.000 0.804
Sm6 0.500 0.500 0.000
Ge1 0.000 0.312 0.133
Ge2 0.000 0.312 0.867
Ge3 0.000 0.688 0.133
Ge4 0.000 0.688 0.867
Ge5 0.500 0.188 0.367
Ge6 0.500 0.188 0.633
Ge7 0.500 0.812 0.367
Ge8 0.500 0.812 0.633

---

(2)
The following is a DFT calculation (GGA-PBE) of a relaxed structure of LaSm2Ge.

Crystal system: tetragonal
ΔE to the lowest computed polymorph: 118 meV per atom
Electronic total energy: -5.078 eV/atom

Unit cell a=3.922 b=3.922 c=7.445 alpha=90.00 beta=90.00 gamma=90.00
Fractional positions:
La1 0.000 0.000 0.000
Sm1 0.500 0.500 0.301
Sm2 0.500 0.500 0.699
Ge1 0.000 0.000 0.500

---

(3)
The following is a DFT calculation (GGA-PBE) of a relaxed structure of LaSmGe4.

Crystal system: cubic
ΔE to the lowest computed polymorph: 141 meV per atom
Electronic total energy: -5.090 eV/atom

Unit cell a=5.738 b=5.738 c=5.738 alpha=60.00 beta=60.00 gamma=60.00
Fractional positions:
La1 0.000 0.000 0.000
Sm1 0.250 0.250 0.250
Ge1 0.132 0.623 0.623
Ge2 0.623 0.132 0.623
Ge3 0.623 0.623 0.132
Ge4 0.623 0.623 0.623

---

(4)
The following is a DFT calculation (GGA-PBE) of a relaxed structure of LaSm2Zn2Ge2.

Crystal system: trigonal
Electronic total energy: -4.223 eV/atom

Unit cell a=11.842 b=11.842 c=11.842 alpha=20.47 beta=20.47 gamma=20.47
Fractional positions:
La1 0.000 0.000 0.000
Sm1 0.123 0.123 0.123
Sm2 0.877 0.877 0.877
Zn1 0.396 0.396 0.396
Zn2 0.604 0.604 0.604
Ge1 0.268 0.268 0.268
Ge2 0.732 0.732 0.732

---

| no. | DOS(E_F) (states/eV/cell) | formation energy from the elements (eV per atom) |
| --- | --- | --- |
| 1 | 12.744 | -0.635 |
| 2 | 5.312 | -0.332 |
| 3 | 7.088 | -0.404 |
| 4 | 8.136 | -0.487 |